VASP calculation (PBE with a Hubbard U) on RbCoAs2O6 after structural relaxation.

The structure in POSCAR format:
```
RbCoAs2O6
1.0
2.785 1.608 6.338
-2.785 1.608 6.338
0.000 -3.215 6.338
Rb Co As O
1 1 2 6
Cartesian
0.000 0.000 0.000
0.000 0.000 9.507
0.000 0.000 4.591
0.000 0.000 14.423
-1.115 -1.332 8.351
-1.711 0.300 10.663
0.596 -1.632 10.663
-0.596 1.632 8.351
1.711 -0.300 8.351
1.115 1.332 10.663
```

Symmetry = R-3, No. 148
Density of states at the Fermi level = 3.49 states/eV per cell
Total energy = -5.574 eV per atom